[1]
The following is a DFT calculation (PBE) of a relaxed structure of TbErSO2.

Geometry as CIF:
```
data_TbErSO2
_symmetry_space_group_name_H-M 'P 1'
_symmetry_Int_Tables_number 1
_symmetry_space_group_name_Hall 'P 1'
_cell_length_a 3.977
_cell_length_b 6.297
_cell_length_c 7.460
_cell_angle_alpha 107.72
_cell_angle_beta 90.00
_cell_angle_gamma 90.00
loop_
_atom_site_label
_atom_site_fract_x
_atom_site_fract_y
_atom_site_fract_z
Tb1 0.250 0.690 0.927
S1 0.750 0.957 0.241
S2 0.250 0.043 0.759
Er1 0.750 0.316 0.579
O1 0.750 0.521 0.875
O2 0.250 0.483 0.616
O3 0.250 0.479 0.125
Tb2 0.750 0.310 0.073
O4 0.750 0.517 0.384
Er2 0.250 0.684 0.421
```

Calculated values
The calculation puts the formation energy from raw total energies at -1520 kJ/mol of formula units. Its space-group type is No. 11. For the total energy, the calculation gives -77.98 eV per cell. Its crystal system is monoclinic.

=====

[2]
The following is a DFT calculation (PBE) of a relaxed structure of RbNpMn2S4.

Geometry as CIF:
```
data_RbNpMn2S4
_symmetry_space_group_name_H-M 'P 1'
_symmetry_Int_Tables_number 1
_symmetry_space_group_name_Hall 'P 1'
_cell_length_a 6.678
_cell_length_b 6.574
_cell_length_c 6.574
_cell_angle_alpha 70.12
_cell_angle_beta 59.48
_cell_angle_gamma 59.48
loop_
_atom_site_label
_atom_site_fract_x
_atom_site_fract_y
_atom_site_fract_z
S1 0.937 0.482 0.138
Mn1 0.879 0.621 0.621
Rb1 0.000 0.000 0.000
S2 0.063 0.862 0.518
Mn2 0.121 0.379 0.379
S3 0.443 0.138 0.482
S4 0.557 0.518 0.862
Np1 0.500 0.500 0.500
```

Calculated values
The calculation puts the formation energy from raw total energies at -384 kJ/mol of formula units. Its space-group type is No. 23. For the total energy, the calculation gives -52.74 eV per cell. Its crystal system is orthorhombic.

=====

Volume list, top to bottom, in Å³/atom: 17.8; 26.6
Total magnetic moment list, top to bottom, in μB/f.u.: 0.00; 8.01